This record from Alexandria describes a relaxed structure of KMnAl2Cl8. The functional is PBE.

The structure belongs to space group R-3 (No. 148, hexagonal axes); the cell edges are 6.3896, 6.3896 and 28.1658 Å and the angles 90.00°, 90.00° and 120.00°. The distinct sites, in fractional coordinates, are K at (0.0000, 0.0000, 0.0000), Mn at (0.0000, 0.0000, 0.5000), Al at (0.0000, 0.0000, 0.2450), Cl at (0.0000, 0.0000, 0.3220) and Cl at (0.0033, 0.6588, 0.8883).

For the density of states at the Fermi level, the calculation gives 17.658 states/eV/cell. The uncorrected formation energy is -1.340 eV per atom.

---

This record from Alexandria describes a relaxed structure of K2NaAlCl6. The functional is PBE.

The structure belongs to space group Fm-3m (No. 225); the cell edges are 10.156, 10.156 and 10.156 Å and the angles 90.00°, 90.00° and 90.00°. The distinct sites, in fractional coordinates, are K at (0.250, 0.250, 0.250), Na at (0.000, 0.000, 0.000), Al at (0.000, 0.000, 0.500) and Cl at (0.000, 0.000, 0.269).

For the density of states at the Fermi level, the calculation gives 0.000 states/eV/cell. The uncorrected formation energy is -1.757 eV per atom.

---

This record from Alexandria describes a relaxed structure of K2NaAlCl6. The functional is PBE.

The structure belongs to space group P-3m1 (No. 164); the cell edges are 7.0630, 7.0630 and 6.7913 Å and the angles 90.00°, 90.00° and 120.00°. The distinct sites, in fractional coordinates, are K at (0.3333, 0.6667, 0.1525), Na at (0.0000, 0.0000, 0.5000), Al at (0.0000, 0.0000, 0.0000) and Cl at (0.1564, 0.3129, 0.7977).

For the density of states at the Fermi level, the calculation gives 0.000 states/eV/cell. The uncorrected formation energy is -1.763 eV per atom.

---

This record from Alexandria describes a relaxed structure of KAlNiCl6. The functional is PBE.

The structure belongs to space group P312 (No. 149); the cell edges are 6.1988, 6.1988 and 7.0725 Å and the angles 90.00°, 90.00° and 120.00°. The distinct sites, in fractional coordinates, are K at (0.0000, 0.0000, 0.0000), Al at (0.6667, 0.3333, 0.5000), Ni at (0.3333, 0.6667, 0.5000) and Cl at (0.3740, 0.0082, 0.6897).

The uncorrected formation energy is -1.312 eV per atom.